Dy4Ru2Pt after structural relaxation, computed with PBE.

Structure (extended XYZ):
```
7
Lattice="-1.731 2.160 3.952 -0.307 -2.446 4.147 6.579 2.230 4.608" Properties=species:S:1:pos:R:3 pbc="T T T"
Dy 0.729 0.600 8.827
Dy 3.812 1.343 3.881
Dy -0.393 0.119 5.653
Dy 4.934 1.825 7.054
Ru 3.437 1.468 9.539
Ru 1.104 0.476 3.169
Pt 0.000 0.000 0.000
```

Calculated values
Formation energy from the elements ... -0.575 eV/atom
E ... -6.72 eV/atom
Energy above the lowest structure with this stoichiometry ... 0 meV/atom
Spin magnetization ... 0.00 μB/cell
Space group ... R-3m (166)